1.
# Ta2FeHIr

Crystalline Ta2FeHIr at its relaxed geometry (PBE, Alexandria via LeMat-Bulk).

Summary:
- ΔE to the lowest computed polymorph (meV per atom) = 0.0

abc: 4.135 4.135 3.684
angles: 90.00 90.00 90.00
Fractional coordinates of all 5 atoms:
Fe1 0.000 0.000 0.500
Ir1 0.500 0.500 0.500
H1 0.000 0.000 0.000
Ta1 0.000 0.500 0.000
Ta2 0.500 0.000 0.000



2.
# Y5Ho4Tm4

Crystalline Y5Ho4Tm4 at its relaxed geometry (PBE, Alexandria via LeMat-Bulk).

Summary:
- E_tot (eV per cell) = -68.2

abc: 4.983 9.348 9.348
angles: 85.93 74.54 74.54
Fractional coordinates of all 13 atoms:
Ho1 0.768 0.387 0.077
Ho2 0.232 0.613 0.923
Ho3 0.155 0.077 0.613
Ho4 0.845 0.923 0.387
Tm1 0.924 0.461 0.691
Tm2 0.615 0.309 0.461
Tm3 0.076 0.539 0.309
Tm4 0.385 0.691 0.539
Y1 0.000 0.000 0.000
Y2 0.538 0.768 0.156
Y3 0.306 0.156 0.232
Y4 0.462 0.232 0.844
Y5 0.694 0.844 0.768



3.
# Ac2Tb6Sm3

Crystalline Ac2Tb6Sm3 at its relaxed geometry (PBE, Alexandria via LeMat-Bulk).

Summary:
- E_tot (eV per cell) = -48.2

abc: 6.255 6.262 12.050
angles: 85.03 80.02 60.03
Fractional coordinates of all 11 atoms:
Sm1 0.664 0.671 0.000
Sm2 0.000 0.000 0.000
Sm3 0.336 0.329 0.000
Tb1 0.919 0.667 0.242
Tb2 0.253 0.000 0.242
Tb3 0.081 0.333 0.758
Tb4 0.414 0.667 0.758
Tb5 0.747 0.000 0.758
Tb6 0.586 0.333 0.242
Ac1 0.167 0.666 0.500
Ac2 0.833 0.334 0.500



4.
# BaSrCo2

Crystalline BaSrCo2 at its relaxed geometry (PBE, Alexandria via LeMat-Bulk).

Summary:
- ΔE to the lowest computed polymorph (meV per atom) = 159.7

abc: 3.454 3.454 9.055
angles: 90.00 90.00 90.00
Last column: magnetic moment on the atom in μB.
Fractional coordinates of all 4 atoms:
Co1 0.000 0.000 0.103  1.66
Co2 0.500 0.500 0.153  1.68
Ba1 0.500 0.500 0.834  -0.08
Sr1 0.000 0.000 0.410  -0.06



5.
# CsErVCl6

Crystalline CsErVCl6 at its relaxed geometry (PBE, Alexandria via LeMat-Bulk).

Summary:
- E_tot (eV per cell) = -42.5

abc: 6.652 6.652 7.943
angles: 90.00 90.00 60.00
Last column: magnetic moment on the atom in μB.
Fractional coordinates of all 9 atoms:
Cl1 0.985 0.637 0.685  -0.01
Cl2 0.377 0.637 0.315  -0.01
Cl3 0.985 0.377 0.315  -0.01
Cl4 0.637 0.377 0.685  -0.01
Cl5 0.377 0.985 0.685  -0.01
Cl6 0.637 0.985 0.315  -0.01
Cs1 0.000 0.000 0.000  0.00
Er1 0.333 0.333 0.500  0.02
V1 0.667 0.667 0.500  2.59



6.
# La2AlCdOs

Crystalline La2AlCdOs at its relaxed geometry (PBE, Alexandria via LeMat-Bulk).

Summary:
- E_tot (eV per cell) = -26.8

abc: 5.553 5.553 4.891
angles: 90.00 90.00 90.00
Fractional coordinates of all 5 atoms:
Cd1 0.500 0.500 0.500
La1 0.500 0.000 0.000
La2 0.000 0.500 0.000
Al1 0.000 0.000 0.500
Os1 0.000 0.000 0.000



Number 1: M_tot 0.00 μB/f.u.. Number 2: M_tot 0.00 μB/f.u.. Number 3: M_tot 0.00 μB/f.u.. Number 4: M_tot 2.86 μB/f.u.. Number 5: M_tot 3.00 μB/f.u.. Number 6: M_tot 0.00 μB/f.u..